Below is crystalline Tm2InAgSe4 at its relaxed geometry, with properties calculated at the PBE level.

Cell lengths 7.197, 7.197, 14.824 Å; angles 90.00, 90.00, 146.75 degrees
Fractional positions:
Tm (0.130, 0.870, 0.569)
Tm (0.130, 0.870, 0.931)
Tm (0.870, 0.130, 0.069)
Tm (0.870, 0.130, 0.431)
In (0.377, 0.623, 0.750)
In (0.623, 0.377, 0.250)
Ag (0.333, 0.667, 0.250)
Ag (0.667, 0.333, 0.750)
Se (0.048, 0.952, 0.750)
Se (0.233, 0.767, 0.100)
Se (0.233, 0.767, 0.400)
Se (0.500, 0.500, 0.000)
Se (0.500, 0.500, 0.500)
Se (0.767, 0.233, 0.600)
Se (0.767, 0.233, 0.900)
Se (0.952, 0.048, 0.250)

Calculated values
Formation energy without anion corrections, meV/atom: -1204.1
Space-group type: No. 63
Crystal system: orthorhombic

---

Below is crystalline TaAlCr2 at its relaxed geometry, with properties calculated at the PBE level.

Cell lengths 5.488, 5.488, 5.488 Å; angles 103.33, 103.33, 122.61 degrees
Fractional positions:
Ta (0.000, 0.000, 0.000)
Ta (0.750, 0.250, 0.500)
Al (0.250, 0.750, 0.500)
Al (0.500, 0.500, 0.000)
Cr (0.128, 0.625, 0.003)
Cr (0.375, 0.378, 0.503)
Cr (0.622, 0.125, 0.997)
Cr (0.875, 0.872, 0.497)

Calculated values
D(E_F), states/eV/cell: 9.9
Space-group type: No. 122
VASP energy, Ha/atom: -0.2917
Crystal system: tetragonal

---

Below is crystalline RuS2IO8 at its relaxed geometry, with properties calculated at the PBE level.

Cell lengths 4.849, 4.849, 10.136 Å; angles 107.62, 107.62, 65.38 degrees
Fractional positions:
Ru (0.000, 0.000, 0.000)
S (0.429, 0.429, 0.165)
S (0.571, 0.571, 0.835)
I (0.000, 0.000, 0.500)
O (0.234, 0.698, 0.848)
O (0.260, 0.260, 0.038)
O (0.302, 0.766, 0.152)
O (0.410, 0.410, 0.301)
O (0.590, 0.590, 0.699)
O (0.698, 0.234, 0.848)
O (0.740, 0.740, 0.962)
O (0.766, 0.302, 0.152)

Calculated values
D(E_F), states/eV/cell: 6.4
Formation energy without anion corrections, meV/atom: -874.2
Space-group type: No. 12
Crystal system: monoclinic

---

Below is crystalline CaIn2HgIr at its relaxed geometry, with properties calculated at the PBE level.

Cell lengths 5.310, 5.310, 5.239 Å; angles 90.00, 90.00, 90.00 degrees
Fractional positions:
Ca (0.000, 0.000, 0.000)
In (0.000, 0.500, 0.500)
In (0.500, 0.000, 0.500)
Hg (0.500, 0.500, 0.500)
Ir (0.500, 0.500, 0.000)

Calculated values
D(E_F), states/eV/cell: 3.1
Excess energy over the best structure of this formula in the dataset, kJ/mol of atoms: 82.7
Space-group type: No. 123
Crystal system: tetragonal

---

Below is crystalline InTe2As at its relaxed geometry, with properties calculated at the PBE level.

Cell lengths 10.348, 10.348, 10.348 Å; angles 21.51, 21.51, 21.51 degrees
Fractional positions:
In (0.000, 0.000, 0.000)
Te (0.107, 0.107, 0.107)
Te (0.893, 0.893, 0.893)
As (0.500, 0.500, 0.500)

Calculated values
D(E_F), states/eV/cell: 2.6
Excess energy over the best structure of this formula in the dataset, kJ/mol of atoms: 18.6
Formation energy without anion corrections, meV/atom: 96.2
Space-group type: No. 166
Crystal system: trigonal

---

Below is crystalline Tm2PbAu at its relaxed geometry, with properties calculated at the PBE level.

Cell lengths 3.653, 3.653, 7.501 Å; angles 90.00, 90.00, 90.00 degrees
Fractional positions:
Tm (0.000, 0.000, 0.225)
Tm (0.000, 0.000, 0.775)
Pb (0.500, 0.500, 0.500)
Au (0.500, 0.500, 0.000)

Calculated values
D(E_F), states/eV/cell: 2.9
Space-group type: No. 123
VASP energy, Ha/atom: -0.1689
Crystal system: tetragonal

---

Let's list total magnetic moment in order: 0.000, 0.000, 0.251, 0.000, 0.000, 0.000 μB per atom.
Let's list V in order: 421.0, 122.1, 202.2, 147.7, 130.5, 100.1 Å³ per cell.